A:
{
  "formula": "HgPtSeO",
  "functional": "PBE",
  "state": "optimized geometry",
  "density_g_cm3": 11.08,
  "cell": [[6.144, 0.000, 0.000], [0.000, 8.256, 0.000], [0.000, 0.000, 5.798]],
  "species": ["Hg", "Hg", "Hg", "Hg", "Pt", "Pt", "Pt", "Pt", "Se", "Se", "Se", "Se", "O", "O", "O", "O"],
  "fractional_positions": [[0.015, 0.206, 0.000], [0.485, 0.206, 0.500], [0.515, 0.794, 0.000], [0.985, 0.794, 0.500], [0.120, 0.374, 0.613], [0.380, 0.374, 0.113], [0.620, 0.626, 0.613], [0.880, 0.626, 0.113], [0.084, 0.845, 0.938], [0.416, 0.845, 0.438], [0.584, 0.155, 0.938], [0.916, 0.155, 0.438], [0.152, 0.508, 0.292], [0.348, 0.508, 0.792], [0.652, 0.492, 0.292], [0.848, 0.492, 0.792]]
}



B:
{
  "formula": "HgPtSeO",
  "functional": "PBE",
  "state": "optimized geometry",
  "density_g_cm3": 11.72,
  "cell": [[3.985, 0.000, 0.000], [0.000, 3.985, 0.000], [0.000, 0.000, 8.756]],
  "species": ["Hg", "Hg", "Pt", "Pt", "Se", "Se", "O", "O"],
  "fractional_positions": [[0.250, 0.750, 0.000], [0.750, 0.250, 0.000], [0.250, 0.250, 0.246], [0.750, 0.750, 0.754], [0.250, 0.250, 0.683], [0.750, 0.750, 0.317], [0.250, 0.250, 0.489], [0.750, 0.750, 0.511]]
}



C:
{
  "formula": "HgPtSeO",
  "functional": "PBE",
  "state": "optimized geometry",
  "density_g_cm3": 9.84,
  "cell": [[5.605, 0.000, 0.000], [0.000, 6.094, 0.000], [0.000, 0.000, 9.695]],
  "species": ["Hg", "Hg", "Hg", "Hg", "Pt", "Pt", "Pt", "Pt", "Se", "Se", "Se", "Se", "O", "O", "O", "O"],
  "fractional_positions": [[0.001, 0.020, 0.254], [0.499, 0.980, 0.754], [0.501, 0.480, 0.746], [0.999, 0.520, 0.246], [0.001, 0.495, 0.748], [0.499, 0.505, 0.248], [0.501, 0.005, 0.252], [0.999, 0.995, 0.752], [0.001, 0.748, 0.557], [0.499, 0.252, 0.057], [0.501, 0.752, 0.443], [0.999, 0.248, 0.943], [0.010, 0.776, 0.110], [0.490, 0.224, 0.610], [0.510, 0.724, 0.890], [0.990, 0.276, 0.390]]
}



Relative energies, in kJ/mol of atoms, with the most stable structure set to zero: A 0.0; B 16.3; C 20.8.